A geometry-optimized SrCaTbIn structure, computed with PBE.

Cell: 5.7326 5.7326 5.7326 Å, 60.00 60.00 60.00°
Sites, in units of the cell vectors:
Ca 0.0000 0.0000 0.0000
Tb 0.2500 0.2500 0.2500
In 0.5000 0.5000 0.5000
Sr 0.7500 0.7500 0.7500

As for the space group: F-43m (216). The total magnetic moment is 0.000 Bohr magnetons per cell. The value obtained for the total energy is -2.88 eV per atom.

A geometry-optimized SrCa2Tl2In2 structure, computed with PBE.

Cell: 5.1864 5.1864 10.0436 Å, 75.04 75.04 60.00°
Sites, in units of the cell vectors:
Sr 0.0000 0.0000 0.0000
Ca 0.8651 0.8651 0.4048
Ca 0.1349 0.1349 0.5952
Tl 0.5663 0.5663 0.3010
Tl 0.4337 0.4337 0.6990
In 0.2613 0.2613 0.2160
In 0.7387 0.7387 0.7840

As for the space group: R-3m (166). The total magnetic moment is 0.000 Bohr magnetons per cell. The value obtained for the total energy is -2.56 eV per atom.

A geometry-optimized SrCa2Zn2In2 structure, computed with PBE.

Cell: 4.8187 4.8187 10.3908 Å, 76.59 76.59 60.00°
Sites, in units of the cell vectors:
Ca 0.8718 0.8718 0.3847
Ca 0.1282 0.1282 0.6153
In 0.2559 0.2559 0.2322
In 0.7441 0.7441 0.7678
Zn 0.5924 0.5924 0.2229
Zn 0.4076 0.4076 0.7771
Sr 0.0000 0.0000 0.0000

As for the space group: R-3m (166). The total magnetic moment is 0.000 Bohr magnetons per cell. The value obtained for the total energy is -2.28 eV per atom.